[1]
An optimized crystal structure of Nd3YRu8. Source: Alexandria via LeMat-Bulk, functional PBE-GGA.

Lattice parameters (Å, degrees): 9.403 9.403 9.403 33.37 33.37 33.37
Positions (direct):
Nd: 0.000 0.000 0.000
Nd: 0.125 0.125 0.125
Nd: 0.500 0.500 0.500
Y: 0.624 0.624 0.624
Ru: 0.058 0.058 0.573
Ru: 0.058 0.573 0.058
Ru: 0.066 0.558 0.558
Ru: 0.307 0.307 0.307
Ru: 0.558 0.066 0.558
Ru: 0.558 0.558 0.066
Ru: 0.573 0.058 0.058
Ru: 0.808 0.808 0.808

- crystal system = trigonal
- energy of formation (eV per atom) = -0.17
- V (Å³ per cell) = 223.9

[2]
An optimized crystal structure of CaNdYSc. Source: Alexandria via LeMat-Bulk, functional PBE-GGA.

Lattice parameters (Å, degrees): 5.677 5.677 5.677 60.00 60.00 60.00
Positions (direct):
Ca: 0.000 0.000 0.000
Nd: 0.750 0.750 0.750
Y: 0.250 0.250 0.250
Sc: 0.500 0.500 0.500

- crystal system = cubic
- energy of formation (eV per atom) = 0.14
- V (Å³ per cell) = 129.4

[3]
An optimized crystal structure of Ba4ScTi4BiO15. Source: Alexandria via LeMat-Bulk, functional PBE-GGA.

Lattice parameters (Å, degrees): 14.517 14.517 4.042 90.00 90.00 157.19
Positions (direct):
Ba: 0.100 0.900 0.000
Ba: 0.300 0.700 0.000
Ba: 0.700 0.300 0.000
Ba: 0.900 0.100 0.000
Sc: 0.000 0.000 0.500
Ti: 0.200 0.800 0.500
Ti: 0.401 0.599 0.500
Ti: 0.599 0.401 0.500
Ti: 0.800 0.200 0.500
Bi: 0.500 0.500 0.000
O: 0.000 0.000 0.000
O: 0.000 0.500 0.500
O: 0.098 0.398 0.500
O: 0.200 0.800 0.000
O: 0.221 0.320 0.500
O: 0.320 0.221 0.500
O: 0.398 0.098 0.500
O: 0.402 0.598 0.000
O: 0.500 0.000 0.500
O: 0.598 0.402 0.000
O: 0.602 0.902 0.500
O: 0.680 0.779 0.500
O: 0.779 0.680 0.500
O: 0.800 0.200 0.000
O: 0.902 0.602 0.500

- crystal system = orthorhombic
- energy relative to the elements, uncorrected (eV/atom) = -2.876
- V (Å³ per cell) = 330.2

no.,magnetization (μB/f.u.)
1,0.00
2,0.00
3,0.00